(1)
Computed, not measured: La2YZrH after structural relaxation at the PBE level of DFT. Values from VASP.

Geometry as Quantum ESPRESSO input:
```
&SYSTEM
  ibrav = 0, nat = 5, ntyp = 4
/
ATOMIC_SPECIES
La 138.91 La.upf
Y 88.91 Y.upf
Zr 91.22 Zr.upf
H 1.01 H.upf
ATOMIC_POSITIONS angstrom
La 0.000 2.525 0.000
La 2.525 0.000 0.000
Y 0.000 0.000 2.501
Zr 2.525 2.525 2.501
H 0.000 0.000 0.000
CELL_PARAMETERS angstrom
5.050 0.000 0.000
0.000 5.050 0.000
0.000 0.000 5.002
```

Results
- total magnetic moment (μB/f.u.) = 0.00
- excess energy over the best structure of this formula in the dataset (eV per formula unit) = 0.00



(2)
Computed, not measured: RuI2F after structural relaxation at the PBE level of DFT. Values from VASP.

Geometry as Quantum ESPRESSO input:
```
&SYSTEM
  ibrav = 0, nat = 4, ntyp = 3
/
ATOMIC_SPECIES
Ru 101.07 Ru.upf
I 126.90 I.upf
F 19.00 F.upf
ATOMIC_POSITIONS angstrom
Ru 0.000 0.000 0.000
I 1.672 1.672 1.672
I 5.015 5.015 5.015
F 3.343 3.343 3.343
CELL_PARAMETERS angstrom
0.000 3.343 3.343
3.343 0.000 3.343
3.343 3.343 0.000
```

Results
- uncorrected formation energy (kJ/mol of atoms) = -1.0
- total magnetic moment (μB/f.u.) = 0.00
- excess energy over the best structure of this formula in the dataset (eV per formula unit) = 0.25



(3)
Computed, not measured: Cd3InRe after structural relaxation at the PBE level of DFT. Values from VASP.

Geometry as Quantum ESPRESSO input:
```
&SYSTEM
  ibrav = 0, nat = 5, ntyp = 3
/
ATOMIC_SPECIES
Cd 112.41 Cd.upf
In 114.82 In.upf
Re 186.21 Re.upf
ATOMIC_POSITIONS angstrom
Cd 0.000 0.000 2.658
Cd 0.000 2.658 0.000
Cd 2.658 0.000 0.000
In 2.658 2.658 2.658
Re 0.000 0.000 0.000
CELL_PARAMETERS angstrom
5.316 0.000 0.000
0.000 5.316 0.000
0.000 0.000 5.316
```

Results
- energy of formation from the pure elements (eV/atom) = 0.933
- total magnetic moment (μB/f.u.) = 1.43
- excess energy over the best structure of this formula in the dataset (eV per formula unit) = 0.00



(4)
Computed, not measured: LiLa2Mg8 after structural relaxation at the PBE level of DFT. Values from VASP.

Geometry as Quantum ESPRESSO input:
```
&SYSTEM
  ibrav = 0, nat = 11, ntyp = 3
/
ATOMIC_SPECIES
Li 6.94 Li.upf
La 138.91 La.upf
Mg 24.30 Mg.upf
ATOMIC_POSITIONS angstrom
Li 0.000 0.000 0.000
La 4.072 0.000 2.325
La 10.824 0.000 4.430
Mg 0.729 0.000 2.875
Mg 1.173 0.000 5.916
Mg 4.477 0.000 5.854
Mg 7.458 0.000 1.827
Mg 7.438 0.000 4.928
Mg 10.419 0.000 0.901
Mg 13.723 0.000 0.839
Mg 14.166 0.000 3.880
CELL_PARAMETERS angstrom
8.229 -2.546 0.000
8.229 2.546 0.000
-1.561 0.000 6.755
```

Results
- energy of formation from the pure elements (eV/atom) = -0.047
- total magnetic moment (μB/f.u.) = 0.00



(5)
Computed, not measured: ThCd2Cu after structural relaxation at the PBE level of DFT. Values from VASP.

Geometry as Quantum ESPRESSO input:
```
&SYSTEM
  ibrav = 0, nat = 4, ntyp = 3
/
ATOMIC_SPECIES
Th 232.04 Th.upf
Cd 112.41 Cd.upf
Cu 63.55 Cu.upf
ATOMIC_POSITIONS angstrom
Th 0.000 0.000 0.000
Cd 0.000 0.000 3.334
Cd 0.000 0.000 28.940
Cu 0.000 0.000 16.137
CELL_PARAMETERS angstrom
1.614 0.932 10.758
-1.614 0.932 10.758
0.000 -1.863 10.758
```

Results
- energy of formation from the pure elements (eV/atom) = 0.351
- total magnetic moment (μB/f.u.) = 0.00



(6)
Computed, not measured: SrNd2B2O6 after structural relaxation at the PBE level of DFT. Values from VASP.

Geometry as Quantum ESPRESSO input:
```
&SYSTEM
  ibrav = 0, nat = 11, ntyp = 4
/
ATOMIC_SPECIES
Sr 87.62 Sr.upf
Nd 144.24 Nd.upf
B 10.81 B.upf
O 16.00 O.upf
ATOMIC_POSITIONS angstrom
Sr 0.000 0.000 0.000
Nd 0.000 3.235 2.026
Nd 2.801 1.617 3.853
B 0.000 3.235 4.719
B 2.801 1.617 1.160
O -1.381 3.426 4.287
O 0.525 1.943 4.287
O 1.945 0.517 1.593
O 0.856 4.335 4.287
O 2.276 2.909 1.593
O 4.183 1.426 1.593
CELL_PARAMETERS angstrom
5.602 0.000 0.000
-2.801 4.852 0.000
0.000 0.000 5.880
```

Results
- uncorrected formation energy (kJ/mol of atoms) = -244.4
- total magnetic moment (μB/f.u.) = 1.92



Repeat the second record exactly.
Computed, not measured: RuI2F after structural relaxation at the PBE level of DFT. Values from VASP.

Geometry as Quantum ESPRESSO input:
```
&SYSTEM
  ibrav = 0, nat = 4, ntyp = 3
/
ATOMIC_SPECIES
Ru 101.07 Ru.upf
I 126.90 I.upf
F 19.00 F.upf
ATOMIC_POSITIONS angstrom
Ru 0.000 0.000 0.000
I 1.672 1.672 1.672
I 5.015 5.015 5.015
F 3.343 3.343 3.343
CELL_PARAMETERS angstrom
0.000 3.343 3.343
3.343 0.000 3.343
3.343 3.343 0.000
```

Results
- uncorrected formation energy (kJ/mol of atoms) = -1.0
- total magnetic moment (μB/f.u.) = 0.00
- excess energy over the best structure of this formula in the dataset (eV per formula unit) = 0.25